[1]
A relaxed structure of TlBi2Sb2, computed with PBE.

## Properties
Energy relative to the elements, uncorrected ... 159 meV/atom
Calculated total energy ... -35.2 eV for the cell shown

```
data_TlBi2Sb2
_cell_length_a 4.7016
_cell_length_b 4.7016
_cell_length_c 15.5392
_cell_angle_alpha 90.00
_cell_angle_beta 90.00
_cell_angle_gamma 90.00
_space_group_name_H-M_alt 'P 1'
_space_group_IT_number 1
_space_group_name_Hall 'P 1'
loop_
_atom_site_label
_atom_site_fract_x
_atom_site_fract_y
_atom_site_fract_z
Tl1 0.0000 0.0000 0.0000
Tl2 0.5000 0.5000 0.5000
Bi1 0.0000 0.5000 0.2500
Bi2 0.0000 0.5000 0.7500
Bi3 0.5000 0.0000 0.2500
Bi4 0.5000 0.0000 0.7500
Sb1 0.0000 0.0000 0.4034
Sb2 0.0000 0.0000 0.5966
Sb3 0.5000 0.5000 0.0966
Sb4 0.5000 0.5000 0.9034
```

---

[2]
A relaxed structure of Cs3AcBi2Se6, computed with PBE.

## Properties
Energy relative to the elements, uncorrected ... -1123 meV/atom
Calculated total energy ... -48.8 eV for the cell shown

```
data_Cs3AcBi2Se6
_cell_length_a 7.7412
_cell_length_b 7.7412
_cell_length_c 8.8056
_cell_angle_alpha 98.44
_cell_angle_beta 98.44
_cell_angle_gamma 119.99
_space_group_name_H-M_alt 'P 1'
_space_group_IT_number 1
_space_group_name_Hall 'P 1'
loop_
_atom_site_label
_atom_site_fract_x
_atom_site_fract_y
_atom_site_fract_z
Cs1 0.0000 0.0000 0.0000
Cs2 0.3347 0.6653 0.0000
Cs3 0.6653 0.3347 0.0000
Ac1 0.5000 0.5000 0.5000
Bi1 0.1666 0.8334 0.5000
Bi2 0.8334 0.1666 0.5000
Se1 0.0900 0.4352 0.3061
Se2 0.2191 0.2191 0.6930
Se3 0.4352 0.0900 0.3061
Se4 0.5648 0.9100 0.6939
Se5 0.7809 0.7809 0.3070
Se6 0.9100 0.5648 0.6939
```

---

[3]
A relaxed structure of Li8GeSb2, computed with PBE.

## Properties
Energy relative to the elements, uncorrected ... -484 meV/atom
Calculated total energy ... -33.5 eV for the cell shown

```
data_Li8GeSb2
_cell_length_a 7.2086
_cell_length_b 7.2086
_cell_length_c 7.5501
_cell_angle_alpha 121.38
_cell_angle_beta 121.38
_cell_angle_gamma 37.33
_space_group_name_H-M_alt 'P 1'
_space_group_IT_number 1
_space_group_name_Hall 'P 1'
loop_
_atom_site_label
_atom_site_fract_x
_atom_site_fract_y
_atom_site_fract_z
Li1 0.0020 0.0020 0.2889
Li2 0.1427 0.1427 0.1374
Li3 0.3482 0.3482 0.5563
Li4 0.3511 0.3511 0.1430
Li5 0.6489 0.6489 0.8570
Li6 0.6518 0.6518 0.4437
Li7 0.8573 0.8573 0.8626
Li8 0.9980 0.9980 0.7111
Ge1 0.5000 0.5000 0.0000
Sb1 0.2006 0.2006 0.7025
Sb2 0.7994 0.7994 0.2975
```

---

[4]
A relaxed structure of OsPb2W, computed with PBE.

## Properties
Calculated total energy ... -30.1 eV for the cell shown
E_form ... 0.3775 eV per atom

```
data_OsPb2W
_cell_length_a 3.1381
_cell_length_b 3.1381
_cell_length_c 9.4364
_cell_angle_alpha 90.00
_cell_angle_beta 90.00
_cell_angle_gamma 90.00
_space_group_name_H-M_alt 'P 1'
_space_group_IT_number 1
_space_group_name_Hall 'P 1'
loop_
_atom_site_label
_atom_site_fract_x
_atom_site_fract_y
_atom_site_fract_z
Os1 0.0000 0.0000 0.0000
Pb1 0.0000 0.0000 0.3894
Pb2 0.5000 0.5000 0.7643
W1 0.5000 0.5000 0.1430
```

---

[5]
A relaxed structure of Al2Fe2Cu, computed with PBE.

## Properties
Calculated total energy ... -57.1 eV for the cell shown
E_form ... -0.0085 eV per atom

```
data_Al2Fe2Cu
_cell_length_a 6.7132
_cell_length_b 6.7132
_cell_length_c 2.8926
_cell_angle_alpha 90.00
_cell_angle_beta 90.00
_cell_angle_gamma 90.00
_space_group_name_H-M_alt 'P 1'
_space_group_IT_number 1
_space_group_name_Hall 'P 1'
loop_
_atom_site_label
_atom_site_fract_x
_atom_site_fract_y
_atom_site_fract_z
Al1 0.1383 0.3617 0.0000
Al2 0.3617 0.8617 0.0000
Al3 0.6383 0.1383 0.0000
Al4 0.8617 0.6383 0.0000
Fe1 0.1600 0.6600 0.5000
Fe2 0.3400 0.1600 0.5000
Fe3 0.6600 0.8400 0.5000
Fe4 0.8400 0.3400 0.5000
Cu1 0.0000 0.0000 0.0000
Cu2 0.5000 0.5000 0.0000
```

---

[6]
A relaxed structure of Gd2BePt, computed with PBE.

## Properties
Calculated total energy ... -40.0 eV for the cell shown
E_form ... -0.5299 eV per atom

```
data_Gd2BePt
_cell_length_a 3.5328
_cell_length_b 3.5328
_cell_length_c 6.8165
_cell_angle_alpha 90.00
_cell_angle_beta 90.00
_cell_angle_gamma 90.00
_space_group_name_H-M_alt 'P 1'
_space_group_IT_number 1
_space_group_name_Hall 'P 1'
loop_
_atom_site_label
_atom_site_fract_x
_atom_site_fract_y
_atom_site_fract_z
Gd1 0.0000 0.0000 0.2466
Gd2 0.0000 0.0000 0.7534
Be1 0.5000 0.5000 0.0000
Pt1 0.5000 0.5000 0.5000
```

---

[7]
A relaxed structure of Pr7HgS5, computed with PBE.

## Properties
Energy relative to the elements, uncorrected ... -1634 meV/atom
Calculated total energy ... -151.3 eV for the cell shown

```
data_Pr7HgS5
_cell_length_a 4.1224
_cell_length_b 7.1105
_cell_length_c 24.8050
_cell_angle_alpha 89.99
_cell_angle_beta 90.00
_cell_angle_gamma 73.21
_space_group_name_H-M_alt 'P 1'
_space_group_IT_number 1
_space_group_name_Hall 'P 1'
loop_
_atom_site_label
_atom_site_fract_x
_atom_site_fract_y
_atom_site_fract_z
Pr1 0.0259 0.4475 0.2500
Pr2 0.1350 0.2292 0.9637
Pr3 0.1357 0.2280 0.5363
Pr4 0.3218 0.8567 0.3281
Pr5 0.3226 0.8551 0.1718
Pr6 0.4109 0.6787 0.8942
Pr7 0.4116 0.6773 0.6059
Pr8 0.5884 0.3227 0.3941
Pr9 0.5891 0.3213 0.1058
Pr10 0.6774 0.1449 0.8282
Pr11 0.6782 0.1433 0.6719
Pr12 0.8643 0.7720 0.4637
Pr13 0.8650 0.7708 0.0363
Pr14 0.9741 0.5525 0.7500
Hg1 0.2943 0.9099 0.7501
Hg2 0.7057 0.0901 0.2499
S1 0.0440 0.4121 0.8591
S2 0.0437 0.4129 0.6409
S3 0.2264 0.0474 0.0696
S4 0.2269 0.0465 0.4304
S5 0.5000 0.5000 0.0000
S6 0.5000 0.5000 0.5000
S7 0.7731 0.9535 0.5696
S8 0.7736 0.9526 0.9304
S9 0.9563 0.5871 0.3591
S10 0.9560 0.5879 0.1409
```